## ZnCu2Pd6 (PBE)

Data for ZnCu2Pd6 after structural relaxation.

Cell: 8.443 3.946 8.122 Å, 90.00 104.61 90.00°
Space group C2/m (No. 12)
Unique sites:
Zn 0.000 0.000 0.000 x2
Cu 0.173 0.500 0.226 x4
Pd 0.002 0.000 0.324 x4
Pd 0.162 0.500 0.895 x4
Pd 0.166 0.500 0.556 x4

Summary:
ΔE_f: -0.19 eV/atom
uncorrected energy: -4.70 eV/atom